Below is a relaxed structure of Pm2CrO6, with properties calculated at the PBE with a Hubbard U level.

It has space group P2_1/c (No. 14), with a = 5.3153 Å, b = 6.1104 Å, c = 8.7024 Å, α = 90.00°, β = 122.76° and γ = 90.00°. The distinct sites, in fractional coordinates, are Pm at (0.2179, 0.0976, 0.2526), Cr at (0.5000, 0.0000, 0.0000), O at (0.1584, 0.1466, 0.9526), O at (0.3021, 0.7299, 0.9375) and O at (0.3849, 0.0422, 0.7637).

The value obtained for the total energy is -7.5441 eV/atom.